## Nd2PuSbN2 (PBE)

Data for a geometry-optimized Nd2PuSbN2 structure.

Unit cell a=4.378 b=4.378 c=6.692 alpha=90.00 beta=90.00 gamma=90.00
Last column: magnetic moment on the atom in μB.
Fractional positions:
N: 0.000 0.500 0.000  -0.16
N: 0.500 0.000 0.000  -0.16
Nd: 0.500 0.500 0.762  0.14
Nd: 0.500 0.500 0.238  0.14
Pu: 0.000 0.000 0.000  4.26
Sb: 0.000 0.000 0.500  -0.04

Formation energy without anion corrections ... -1.10 eV/atom
Mass density ... 8.83 g cm⁻³
Fermi-level density of states ... 5.8 states/eV per cell
Energy ... -51.22 eV for the cell shown